Computed, not measured: a relaxed structure of SrHf3Ir at the PBE-GGA level of DFT.

Lattice parameters (Å, degrees): 4.908 4.908 4.908 90.00 90.00 90.00
Atoms (fractional coordinates):
Sr (0.000, 0.000, 0.000)
Hf (0.000, 0.000, 0.500)
Hf (0.000, 0.500, 0.000)
Hf (0.500, 0.000, 0.000)
Ir (0.500, 0.500, 0.500)

Values from the calculation:
crystal system: cubic
energy above the most stable polymorph in this dataset: 2179 meV/atom
ΔH_f (0 K): 2.30 eV/atom
symmetry: Pm-3m